Material: Al2CoO4
Method: DFT, PBE+U
State: optimized geometry

The structure belongs to space group Cc (No. 9); the cell edges are 5.405, 10.511 and 5.599 Å and the angles 90.00°, 118.86° and 90.00°. The asymmetric unit holds Al at (0.000, 0.095, 0.000), Al at (0.423, 0.155, 0.845), Co at (0.181, 0.374, 0.923), O at (0.097, 0.048, 0.711), O at (0.127, 0.447, 0.242), O at (0.308, 0.196, 0.103) and O at (0.308, 0.297, 0.632).

Its polymorph energy (0 for the lowest one) is 0.090 eV/atom.